# 1
The following is a DFT calculation (PBE) of a relaxed K2SrMn crystal.

Results
**Energy relative to the lowest polymorph listed for this composition**: 0.0 meV/atom
**Final energy**: -11.13 eV per cell
**Energy of formation**: 46.3 kJ per mole of atoms

Lattice parameters (Å, degrees): 4.147 4.147 11.284 90.00 90.00 90.00
Space group P4mm (No. 99)
Inequivalent atoms, fractional coordinates:
K  0.000  0.000  0.000
K  0.500  0.500  0.335
Sr  0.500  0.500  0.695
Mn  0.000  0.000  0.546



# 2
The following is a DFT calculation (PBE) of a relaxed KSrMn crystal.

Results
**Energy relative to the lowest polymorph listed for this composition**: 91.4 meV/atom
**Final energy**: -9.77 eV per cell
**Energy of formation**: 70.0 kJ per mole of atoms

Lattice parameters (Å, degrees): 4.0662 4.0662 9.0221 90.00 90.00 120.00
Space group P3m1 (No. 156)
Inequivalent atoms, fractional coordinates:
K  0.0000  0.0000  0.0000
Sr  0.3333  0.6667  0.5642
Mn  0.6667  0.3333  0.3047



# 3
The following is a DFT calculation (PBE) of a relaxed K2SrMn crystal.

Results
**Energy relative to the lowest polymorph listed for this composition**: 127.5 meV/atom
**Final energy**: -10.62 eV per cell
**Energy of formation**: 58.6 kJ per mole of atoms

Lattice parameters (Å, degrees): 5.240 5.240 6.603 90.00 90.00 90.00
Space group P4/mmm (No. 123)
Inequivalent atoms, fractional coordinates:
K  0.000  0.500  0.000
Sr  0.000  0.000  0.500
Mn  0.500  0.500  0.500



# 4
The following is a DFT calculation (PBE) of a relaxed KSrMn crystal.

Results
**Energy relative to the lowest polymorph listed for this composition**: 0.0 meV/atom
**Final energy**: -40.19 eV per cell
**Energy of formation**: 61.1 kJ per mole of atoms

Lattice parameters (Å, degrees): 5.698 5.706 15.609 90.00 90.00 90.00
Space group Fmm2 (No. 42)
Inequivalent atoms, fractional coordinates:
K  0.000  0.000  0.000
Sr  0.000  0.000  0.731
Mn  0.000  0.000  0.345



# 5
The following is a DFT calculation (PBE) of a relaxed K2SrMnTl crystal.

Results
**Final energy**: -12.96 eV per cell
**Energy of formation**: 47.3 kJ per mole of atoms

Lattice parameters (Å, degrees): 6.781 6.781 5.270 90.00 90.00 90.00
Space group P4/mmm (No. 123)
Inequivalent atoms, fractional coordinates:
K  0.000  0.500  0.000
Sr  0.000  0.000  0.500
Mn  0.500  0.500  0.500
Tl  0.500  0.500  0.000



# 6
The following is a DFT calculation (PBE) of a relaxed KTa2Mn crystal.

Results
**Energy relative to the lowest polymorph listed for this composition**: 202.2 meV/atom
**Final energy**: -61.07 eV per cell
**Energy of formation**: 82.9 kJ per mole of atoms

Lattice parameters (Å, degrees): 3.112 3.928 16.835 90.00 90.00 90.00
Space group Imm2 (No. 44)
Inequivalent atoms, fractional coordinates:
K  0.000  0.000  0.000
Ta  0.000  0.000  0.308
Ta  0.000  0.500  0.187
Mn  0.000  0.500  0.699



Among the records above, which one has the lowest final energy? KTa2Mn



Among the records above, which one has the lowest final energy? KTa2Mn



Repeat the second record exactly.
The following is a DFT calculation (PBE) of a relaxed KSrMn crystal.

Results
**Energy relative to the lowest polymorph listed for this composition**: 91.4 meV/atom
**Final energy**: -9.77 eV per cell
**Energy of formation**: 70.0 kJ per mole of atoms

Lattice parameters (Å, degrees): 4.0662 4.0662 9.0221 90.00 90.00 120.00
Space group P3m1 (No. 156)
Inequivalent atoms, fractional coordinates:
K  0.0000  0.0000  0.0000
Sr  0.3333  0.6667  0.5642
Mn  0.6667  0.3333  0.3047